GGA-PBE ScTc2, optimized geometry; total magnetization = 0.00 μB/cell; DFT formation energy = 0.2106 eV/atom
1.0
3.9369 0.0000 0.0000
0.0000 3.9369 0.0000
0.0000 0.0000 14.8525
Sc Tc
4 8
Direct
0.0000 0.2500 0.3750
0.0000 0.7500 0.6250
0.5000 0.2500 0.1250
0.5000 0.7500 0.8750
0.0000 0.2500 0.7926
0.0000 0.2500 0.9574
0.0000 0.7500 0.0426
0.0000 0.7500 0.2074
0.5000 0.2500 0.5426
0.5000 0.2500 0.7074
0.5000 0.7500 0.2926
0.5000 0.7500 0.4574

GGA-PBE SiOs2Pt, optimized geometry; uncorrected energy = -8.47 eV per atom; total magnetization = 0.00 μB/cell
1.0
2.8555 0.0000 0.0000
0.0000 3.9321 0.0000
-1.2230 0.0000 5.1142
Si Os Pt
1 2 1
Direct
0.0000 0.0000 0.0000
0.3665 0.5000 0.2322
0.6335 0.5000 0.7678
0.0000 0.0000 0.5000

GGA-PBE Cs8Au6O, optimized geometry; uncorrected energy = -2.55 eV per atom; total magnetization = 0.15 μB/cell
1.0
5.4738 3.1603 6.6253
-5.4738 3.1603 6.6253
0.0000 -6.3206 6.6253
Cs Au O
8 6 1
Direct
0.1416 0.1416 0.1416
0.1985 0.6420 0.4069
0.3580 0.5931 0.8015
0.4069 0.1985 0.6420
0.5931 0.8015 0.3580
0.6420 0.4069 0.1985
0.8015 0.3580 0.5931
0.8584 0.8584 0.8584
0.0098 0.4574 0.8410
0.1590 0.9902 0.5426
0.4574 0.8410 0.0098
0.5426 0.1590 0.9902
0.8410 0.0098 0.4574
0.9902 0.5426 0.1590
0.5000 0.5000 0.5000

GGA-PBE Lu2InAu2, optimized geometry; total magnetization = 0.00 μB/cell; DFT formation energy = -0.8034 eV/atom
1.0
7.8095 0.0000 0.0000
0.0000 7.8095 0.0000
0.0000 0.0000 3.7080
Lu In Au
4 2 4
Direct
0.1673 0.3327 0.0000
0.3327 0.8327 0.0000
0.6673 0.1673 0.0000
0.8327 0.6673 0.0000
0.0000 0.0000 0.5000
0.5000 0.5000 0.5000
0.1309 0.6309 0.5000
0.3691 0.1309 0.5000
0.6309 0.8691 0.5000
0.8691 0.3691 0.5000